# 1
Here is BaSrTe2 after structural relaxation from Alexandria. Energies are from PBE-GGA.

CIF file:
```
data_BaSrTe2
_cell_length_a 8.287
_cell_length_b 8.287
_cell_length_c 8.287
_cell_angle_alpha 90.00
_cell_angle_beta 90.00
_cell_angle_gamma 90.00
_space_group_name_H-M_alt 'F -4 3 m'
_space_group_IT_number 216
_space_group_name_Hall 'F -4 2 3'
loop_
_atom_site_label
_atom_site_fract_x
_atom_site_fract_y
_atom_site_fract_z
Ba1 0.000 0.000 0.000
Sr1 0.250 0.250 0.250
Te1 0.000 0.000 0.500
Te2 0.250 0.250 0.750
```

formation energy from raw total energies = -0.856 eV/atom
excess energy over the best structure of this formula in the dataset = 0.907 eV per atom
N(E_F) = 0.09 states/eV/f.u.

---

# 2
Here is Ba2SrTe after structural relaxation from Alexandria. Energies are from PBE-GGA.

CIF file:
```
data_Ba2SrTe
_cell_length_a 5.295
_cell_length_b 5.295
_cell_length_c 13.315
_cell_angle_alpha 90.00
_cell_angle_beta 90.00
_cell_angle_gamma 90.00
_space_group_name_H-M_alt 'I -4 m 2'
_space_group_IT_number 119
_space_group_name_Hall 'I -4 -2'
loop_
_atom_site_label
_atom_site_fract_x
_atom_site_fract_y
_atom_site_fract_z
Ba1 0.000 0.000 0.000
Ba2 0.000 0.500 0.250
Sr1 0.000 0.500 0.750
Te1 0.000 0.000 0.500
```

formation energy from raw total energies = -0.559 eV/atom
N(E_F) = 2.10 states/eV/f.u.

---

# 3
Here is Ba3SrTe after structural relaxation from Alexandria. Energies are from PBE-GGA.

CIF file:
```
data_Ba3SrTe
_cell_length_a 6.781
_cell_length_b 6.781
_cell_length_c 6.781
_cell_angle_alpha 90.00
_cell_angle_beta 90.00
_cell_angle_gamma 90.00
_space_group_name_H-M_alt 'P m -3 m'
_space_group_IT_number 221
_space_group_name_Hall '-P 4 2 3'
loop_
_atom_site_label
_atom_site_fract_x
_atom_site_fract_y
_atom_site_fract_z
Ba1 0.000 0.000 0.500
Sr1 0.500 0.500 0.500
Te1 0.000 0.000 0.000
```

formation energy from raw total energies = -0.544 eV/atom
excess energy over the best structure of this formula in the dataset = 0.000 eV per atom
N(E_F) = 8.48 states/eV/f.u.